No. 1
A plane-wave DFT calculation with PBE was carried out for crystalline Pr2PdBr at its relaxed geometry.

abc: 8.2970 8.2970 8.2970
angles: 29.40 29.40 29.40
Closest atoms and distances in Å follow each position.
Atoms (fractional coordinates):
Pr 0.0000 0.0000 0.0000  3 Pd 2.91
Pr 0.1990 0.1990 0.1990  3 Pd 2.91
Pd 0.5998 0.5998 0.5998  6 Pr 2.91
Br 0.4314 0.4314 0.4314  6 Pr 3.37-3.42

Values from the calculation:
- uncorrected energy (eV per atom) = -5.079
- SG = No. 160
- distance to the lowest polymorph of the same formula (eV per atom) = 0.0144
- density (kg/m³) = 6383
- formation energy without anion corrections (meV per atom) = -973

---

No. 2
A plane-wave DFT calculation with PBE was carried out for crystalline CrFe3 at its relaxed geometry.

abc: 4.0020 4.0020 4.0020
angles: 60.00 60.00 60.00
Closest atoms and distances in Å follow each position.
Atoms (fractional coordinates):
Cr 0.0000 0.0000 0.0000  8 Fe 2.45
Fe 0.2500 0.2500 0.2500  4 Fe 2.45, 4 Cr 2.45
Fe 0.5000 0.5000 0.5000  8 Fe 2.45
Fe 0.7500 0.7500 0.7500  4 Fe 2.45, 4 Cr 2.45

Values from the calculation:
- uncorrected energy (eV per atom) = -8.692
- SG = No. 225
- density (kg/m³) = 8043
- calculated formation energy (eV per formula unit) = 0.24

---

No. 3
A plane-wave DFT calculation with PBE was carried out for crystalline CrFeP2 at its relaxed geometry.

abc: 3.7838 3.7838 5.0337
angles: 101.93 101.93 42.41
Closest atoms and distances in Å follow each position.
Atoms (fractional coordinates):
Cr 0.0000 0.0000 0.0000  6 P 2.42-2.45
Fe 0.5000 0.5000 0.5000  6 P 2.31-2.32
P 0.2482 0.2482 0.7273  3 Fe 2.31-2.32, 3 Cr 2.42-2.45
P 0.7518 0.7518 0.2727  3 Fe 2.31-2.32, 3 Cr 2.42-2.45

Values from the calculation:
- uncorrected energy (eV per atom) = -7.376
- SG = No. 12
- distance to the lowest polymorph of the same formula (eV per atom) = 0.4075
- density (kg/m³) = 5949
- calculated formation energy (eV per formula unit) = -0.60